Record 1
Crystalline LiYSc2O at its relaxed geometry. Source: Alexandria, functional PBE-GGA.

```
5
Lattice="-4.0971 0.7150 1.5181 -1.2785 -3.9244 -1.6020 1.2073 -2.1336 4.2633" Properties=species:S:1:pos:R:3 pbc="T T T"
Y 0.6037 -1.0668 2.1316
Sc -0.6392 -1.9622 -0.8010
Sc -2.0486 0.3575 0.7590
O 0.0000 0.0000 0.0000
Li -2.0841 -2.6715 2.0897
```

Energy relative to the elements, uncorrected (eV per atom): -1.0744
E (eV per atom): -6.274



Record 2
Crystalline Ba2GaCuH6 at its relaxed geometry. Source: Alexandria, functional PBE-GGA.

```
10
Lattice="-4.0669 4.0794 0.5123 -0.3790 -0.9978 5.6825 0.7042 4.2962 3.7161" Properties=species:S:1:pos:R:3 pbc="T T T"
Ba -2.7963 4.9630 3.6580
Ba -0.9453 2.4149 6.2528
Ga 0.0000 0.0000 0.0000
Cu -2.2229 1.5408 3.0974
H -0.9663 2.7366 3.3755
H -3.1617 2.2187 4.4324
H -0.7175 4.7339 7.9370
H -3.0241 2.6440 1.9738
H -0.5799 5.1592 5.4784
H -2.7753 4.6413 6.5353
```

E (eV per atom): -3.315



Record 3
Crystalline Ti3AlGa3 at its relaxed geometry. Source: Alexandria, functional PBE-GGA.

```
14
Lattice="-0.4853 -4.4718 -1.4113 -0.1255 -2.2211 7.0810 -6.3300 1.7744 -3.4456" Properties=species:S:1:pos:R:3 pbc="T T T"
Ti -3.8495 -3.8107 1.5878
Ti -1.0391 -4.2070 1.8769
Ti -2.7845 -4.7117 4.0764
Ti -3.0914 -1.1078 0.6364
Ti -5.9018 -0.7115 0.3472
Ti -4.1563 -0.2068 -1.8522
Al -2.3150 -2.0072 3.2193
Al -4.6259 -2.9113 -0.9952
Ga -5.0199 -1.5641 2.7456
Ga -0.4585 -1.5697 1.1947
Ga -1.4666 -2.8878 5.7178
Ga -1.9210 -3.3544 -0.5214
Ga -6.4824 -3.3488 1.0295
Ga -5.4742 -2.0307 -3.4936
```

ΔH_f (0 K) (eV/atom): -0.36
E (eV per atom): -5.576



Record 4
Crystalline In4Ga2Hg5 at its relaxed geometry. Source: Alexandria, functional PBE-GGA.

```
11
Lattice="5.0556 -0.8966 -1.5936 -1.7652 6.5222 -0.5542 -0.4732 1.2881 9.4799" Properties=species:S:1:pos:R:3 pbc="T T T"
In 0.5483 3.3367 5.0357
In -1.5047 5.5444 0.6728
In 2.2689 3.5769 2.2964
In 4.3220 1.3693 6.6593
Ga 2.0798 3.4125 7.5409
Ga 0.7375 3.5012 -0.2088
Hg -1.3115 5.1081 6.6329
Hg 4.1287 1.8055 0.6992
Hg 1.9222 6.3892 3.6586
Hg 2.5278 -0.4483 -0.7968
Hg 0.8951 0.5244 3.6735
```

ΔH_f (0 K) (eV/atom): 0.06
E (eV per atom): -1.624



Record 5
Crystalline ScGaReMo at its relaxed geometry. Source: Alexandria, functional PBE-GGA.

```
4
Lattice="4.5127 0.0000 0.0000 2.2563 3.9081 0.0000 2.2563 1.3027 3.6846" Properties=species:S:1:pos:R:3 pbc="T T T"
Sc 0.0000 0.0000 0.0000
Re 6.7690 3.9081 2.7634
Mo 4.5127 2.6054 1.8423
Ga 2.2563 1.3027 0.9211
```

ΔH_f (0 K) (eV/atom): -0.15
E (eV per atom): -8.311



Record 6
Crystalline CaZrZnHg at its relaxed geometry. Source: Alexandria, functional PBE-GGA.

```
4
Lattice="-1.6821 4.7243 0.5590 -4.5317 0.8381 2.0549 -0.3449 2.0267 4.6081" Properties=species:S:1:pos:R:3 pbc="T T T"
Zn 0.0000 0.0000 0.0000
Ca -1.6397 1.8973 1.8055
Hg -3.2793 3.7945 3.6110
Zr -4.9190 5.6918 5.4165
```

ΔH_f (0 K) (eV/atom): -0.14
E (eV per atom): -3.171